P.
# Sr2LiFe

A relaxed Sr2LiFe crystal (PBEsol, Alexandria).

a b c (Å): 3.7129 3.7129 8.7031
angles (deg): 90.00 90.00 90.00
Closest atoms and distances in Å follow each position.
Atoms (fractional coordinates):
Sr 0.0000 0.0000 0.2111  4 Fe 3.20
Sr 0.0000 0.0000 0.7889  4 Fe 3.20
Li 0.5000 0.5000 0.5000  8 Sr 3.63, 4 Li 3.71
Fe 0.5000 0.5000 0.0000  8 Sr 3.20

Crystal system: tetragonal
D(E_F): 1.600 states/eV/atom
Space-group type: P4/mmm (123)

=====

Q.
# Sr2LiFe

A relaxed Sr2LiFe crystal (PBEsol, Alexandria).

a b c (Å): 7.7030 7.7030 7.7030
angles (deg): 90.00 90.00 90.00
Closest atoms and distances in Å follow each position.
Atoms (fractional coordinates):
Sr 0.2500 0.2500 0.2500  4 Fe 3.34, 4 Li 3.34
Sr 0.2500 0.2500 0.7500  4 Fe 3.34, 4 Li 3.34
Sr 0.2500 0.7500 0.2500  4 Fe 3.34, 4 Li 3.34
Sr 0.2500 0.7500 0.7500  4 Fe 3.34, 4 Li 3.34
Sr 0.7500 0.2500 0.2500  4 Fe 3.34, 4 Li 3.34
Sr 0.7500 0.2500 0.7500  4 Fe 3.34, 4 Li 3.34
Sr 0.7500 0.7500 0.2500  4 Fe 3.34, 4 Li 3.34
Sr 0.7500 0.7500 0.7500  4 Fe 3.34, 4 Li 3.34
Li 0.0000 0.0000 0.0000  8 Sr 3.34
Li 0.0000 0.5000 0.5000  8 Sr 3.34
Li 0.5000 0.0000 0.5000  8 Sr 3.34
Li 0.5000 0.5000 0.0000  8 Sr 3.34
Fe 0.0000 0.0000 0.5000  8 Sr 3.34
Fe 0.0000 0.5000 0.0000  8 Sr 3.34
Fe 0.5000 0.0000 0.0000  8 Sr 3.34
Fe 0.5000 0.5000 0.5000  8 Sr 3.34

Crystal system: cubic
D(E_F): 1.608 states/eV/atom
Space-group type: Fm-3m (225)

=====

R.
# Sr2LiFe

A relaxed Sr2LiFe crystal (PBEsol, Alexandria).

a b c (Å): 3.6556 3.6556 8.6950
angles (deg): 90.00 90.00 90.00
Closest atoms and distances in Å follow each position.
Atoms (fractional coordinates):
Sr 0.0000 0.0000 0.0000  1 Li 3.02, 4 Fe 3.30
Sr 0.5000 0.5000 0.3913  1 Fe 3.24, 4 Li 3.44
Li 0.0000 0.0000 0.6521  4 Fe 2.76, 1 Sr 3.02
Fe 0.5000 0.5000 0.7638  4 Li 2.76

Crystal system: tetragonal
D(E_F): 1.561 states/eV/atom
Space-group type: P4mm (99)

=====

Which structure loses on stability? R does.

=====

P.
# LiTa2Fe

A relaxed LiTa2Fe crystal (PBEsol, Alexandria).

a b c (Å): 3.0188 4.2881 8.9397
angles (deg): 90.00 90.00 90.00
Closest atoms and distances in Å follow each position.
Atoms (fractional coordinates):
Li 0.0000 0.0000 0.0000  2 Fe 2.55, 4 Ta 2.67
Li 0.5000 0.5000 0.5000  2 Fe 2.55, 4 Ta 2.67
Ta 0.0000 0.0000 0.5541  2 Fe 2.45, 4 Li 2.67
Ta 0.0000 0.5000 0.7805  4 Fe 2.62, 2 Ta 2.87, 4 Li 2.91-2.93
Ta 0.5000 0.0000 0.2805  4 Fe 2.62, 2 Ta 2.87, 4 Li 2.91-2.93
Ta 0.5000 0.5000 0.0541  2 Fe 2.45, 4 Li 2.67
Fe 0.0000 0.5000 0.2705  6 Ta 2.45-2.62, 2 Li 2.55
Fe 0.5000 0.0000 0.7705  6 Ta 2.45-2.62, 2 Li 2.55

Crystal system: orthorhombic
D(E_F): 0.765 states/eV/atom
Space-group type: Imm2 (44)

=====

Q.
# LiTa2Fe

A relaxed LiTa2Fe crystal (PBEsol, Alexandria).

a b c (Å): 3.1606 4.3996 9.0547
angles (deg): 90.00 90.00 90.00
Closest atoms and distances in Å follow each position.
Atoms (fractional coordinates):
Li 0.0000 0.0000 0.0000  2 Fe 2.62, 4 Li 2.71
Li 0.5000 0.5000 0.0000  2 Fe 2.62, 4 Li 2.71
Ta 0.0000 0.0000 0.5522  2 Fe 2.52, 4 Ta 2.71
Ta 0.0000 0.5000 0.2830  6 Ta 2.71-2.90, 2 Li 3.01
Ta 0.5000 0.0000 0.2830  6 Ta 2.71-2.90, 2 Li 3.01
Ta 0.5000 0.5000 0.5522  2 Fe 2.52, 4 Ta 2.71
Fe 0.0000 0.5000 0.7696  2 Ta 2.52, 2 Li 2.62, 4 Fe 2.71
Fe 0.5000 0.0000 0.7696  2 Ta 2.52, 2 Li 2.62, 4 Fe 2.71

Crystal system: orthorhombic
D(E_F): 0.961 states/eV/atom
Space-group type: Cmm2 (35)

=====

Which structure loses on stability? Q does.

=====

P.
# LiFeTc2

A relaxed LiFeTc2 crystal (PBEsol, Alexandria).

a b c (Å): 3.0229 4.1285 7.9500
angles (deg): 90.00 90.00 90.00
Closest atoms and distances in Å follow each position.
Atoms (fractional coordinates):
Li 0.0000 0.0000 0.0000  2 Fe 2.48, 6 Tc 2.56-2.59
Li 0.5000 0.5000 0.5000  2 Fe 2.48, 6 Tc 2.56-2.59
Fe 0.0000 0.5000 0.2528  6 Tc 2.44-2.56, 2 Li 2.48
Fe 0.5000 0.0000 0.7528  6 Tc 2.44-2.56, 2 Li 2.48
Tc 0.0000 0.0000 0.5113  2 Fe 2.44, 2 Tc 2.48, 4 Li 2.56
Tc 0.0000 0.5000 0.7643  2 Tc 2.48, 4 Fe 2.56, 2 Li 2.59
Tc 0.5000 0.0000 0.2643  2 Tc 2.48, 4 Fe 2.56, 2 Li 2.59
Tc 0.5000 0.5000 0.0113  2 Fe 2.44, 2 Tc 2.48, 4 Li 2.56

Crystal system: orthorhombic
D(E_F): 1.107 states/eV/atom
Space-group type: Imm2 (44)

=====

Q.
# LiFeTc2

A relaxed LiFeTc2 crystal (PBEsol, Alexandria).

a b c (Å): 5.8137 5.8137 5.8137
angles (deg): 90.00 90.00 90.00
Closest atoms and distances in Å follow each position.
Atoms (fractional coordinates):
Li 0.0000 0.0000 0.0000  4 Tc 2.52, 4 Fe 2.52
Li 0.0000 0.5000 0.5000  4 Tc 2.52, 4 Fe 2.52
Li 0.5000 0.0000 0.5000  4 Tc 2.52, 4 Fe 2.52
Li 0.5000 0.5000 0.0000  4 Tc 2.52, 4 Fe 2.52
Fe 0.2500 0.2500 0.2500  4 Li 2.52, 4 Tc 2.52
Fe 0.2500 0.7500 0.7500  4 Li 2.52, 4 Tc 2.52
Fe 0.7500 0.2500 0.7500  4 Li 2.52, 4 Tc 2.52
Fe 0.7500 0.7500 0.2500  4 Li 2.52, 4 Tc 2.52
Tc 0.0000 0.0000 0.5000  4 Fe 2.52, 4 Tc 2.52
Tc 0.0000 0.5000 0.0000  4 Fe 2.52, 4 Tc 2.52
Tc 0.2500 0.2500 0.7500  4 Tc 2.52, 4 Li 2.52
Tc 0.2500 0.7500 0.2500  4 Tc 2.52, 4 Li 2.52
Tc 0.5000 0.0000 0.0000  4 Fe 2.52, 4 Tc 2.52
Tc 0.5000 0.5000 0.5000  4 Fe 2.52, 4 Tc 2.52
Tc 0.7500 0.2500 0.2500  4 Tc 2.52, 4 Li 2.52
Tc 0.7500 0.7500 0.7500  4 Tc 2.52, 4 Li 2.52

Crystal system: cubic
D(E_F): 0.936 states/eV/atom
Space-group type: F-43m (216)

=====

Which structure loses on stability? P does.